[1]
Ho3AuSe2: relaxed, GGA-PBE.

The calculation puts the density at 9.57 g/cm³. Its total energy is -5.412 eV per atom.

The structure belongs to space group Immm (No. 71); the cell edges are 3.977, 5.840 and 12.699 Å and the angles 90.00°, 90.00° and 90.00°. The distinct sites, in fractional coordinates, are Ho at (0.000, 0.000, 0.000), Ho at (0.000, 0.000, 0.334), Au at (0.000, 0.500, 0.000) and Se at (0.000, 0.500, 0.333).

***

[2]
PaAl2Ge: relaxed, GGA-PBE.

The calculation puts the density at 7.31 g/cm³. Its total energy is -5.618 eV per atom.

The structure belongs to space group Immm (No. 71); the cell edges are 4.097, 4.115 and 9.639 Å and the angles 90.00°, 90.00° and 90.00°. The distinct sites, in fractional coordinates, are Pa at (0.000, 0.000, 0.000), Al at (0.000, 0.500, 0.249) and Ge at (0.000, 0.000, 0.500).

***

[3]
Mg2Rh3Pb: relaxed, GGA-PBE.

The calculation puts the density at 9.58 g/cm³. Its total energy is -5.224 eV per atom.

The structure belongs to space group Cmmm (No. 65); the cell edges are 4.531, 13.619 and 6.340 Å and the angles 90.00°, 90.00° and 90.00°. The distinct sites, in fractional coordinates, are Mg at (0.000, 0.000, 0.000), Mg at (0.000, 0.000, 0.500), Mg at (0.000, 0.332, 0.000), Rh at (0.000, 0.167, 0.247), Rh at (0.000, 0.500, 0.238) and Pb at (0.000, 0.341, 0.500).

***

[4]
HoLuMgTi: relaxed, GGA-PBE.

The calculation puts the density at 6.87 g/cm³. Its total energy is -4.497 eV per atom.

The structure belongs to space group F-43m (No. 216); the cell edges are 7.358, 7.358 and 7.358 Å and the angles 90.00°, 90.00° and 90.00°. The distinct sites, in fractional coordinates, are Ho at (0.000, 0.000, 0.000), Lu at (0.000, 0.000, 0.500), Mg at (0.250, 0.250, 0.750) and Ti at (0.250, 0.250, 0.250).

***

[5]
Ba2AgGePd: relaxed, GGA-PBE.

The calculation puts the density at 5.16 g/cm³. Its total energy is -3.633 eV per atom.

The structure belongs to space group P4/mmm (No. 123); the cell edges are 6.194, 6.194 and 4.714 Å and the angles 90.00°, 90.00° and 90.00°. The distinct sites, in fractional coordinates, are Ba at (0.000, 0.500, 0.000), Ag at (0.000, 0.000, 0.500), Ge at (0.500, 0.500, 0.500) and Pd at (0.500, 0.500, 0.000).

***

[6]
LaPtRh2N: relaxed, GGA-PBE.

The calculation puts the density at 9.00 g/cm³. Its total energy is -5.327 eV per atom.

The structure belongs to space group P4/mmm (No. 123); the cell edges are 5.010, 5.010 and 4.073 Å and the angles 90.00°, 90.00° and 90.00°. The distinct sites, in fractional coordinates, are La at (0.000, 0.000, 0.000), Pt at (0.500, 0.500, 0.500), Rh at (0.000, 0.500, 0.000) and N at (0.000, 0.000, 0.500).